SCAN Sr2Al2I, PBEsol geometry; size of the total moment = 0.00 μB per formula unit; E_form (uncorrected) = -2.05 eV/f.u.; energy = -19.77 eV per atom; symmetry = I4/mmm; ρ = 3.83 g/cm³
1.0
3.998 0.000 0.000
0.000 3.998 0.000
-1.999 -1.999 9.663
I Sr Al
1 2 2
direct
0.000 0.000 0.000 I
0.386 0.386 0.772 Sr
0.614 0.614 0.228 Sr
0.250 0.750 0.500 Al
0.750 0.250 0.500 Al